(1)
First-principles (GGA-PBEsol) data for a relaxed structure of In2PtRh, as listed in Alexandria via LeMat-Bulk.

Cell lengths 3.185, 4.613, 4.613 Å; angles 98.63, 90.00, 90.00 degrees
Positions (direct):
Rh 0.500 0.500 0.500
Pt 0.500 0.000 0.000
In 0.000 0.500 0.000
In 0.000 0.000 0.500

total magnetic moment: 0.000 μB/f.u.
energy of formation from the pure elements: -1.6 eV/f.u.

(2)
First-principles (GGA-PBEsol) data for a relaxed structure of CsCu3Br, as listed in Alexandria via LeMat-Bulk.

Cell lengths 5.003, 5.003, 5.003 Å; angles 90.00, 90.00, 90.00 degrees
Positions (direct):
Cs 0.500 0.500 0.500
Cu 0.000 0.500 0.000
Cu 0.000 0.000 0.500
Cu 0.500 0.000 0.000
Br 0.000 0.000 0.000

total magnetic moment: 0.000 μB/f.u.
formation energy from raw total energies: 838 meV per atom
energy above the lowest structure with this stoichiometry: 0 meV/atom